# Y5Er2Sb5 (PBE, relaxed)
# - Formation energy (no corrections): -83.8 kJ/mol of atoms
# - Uncorrected energy: -0.2220 Ha/atom
# - M_tot: 0.01 μB/cell
data_Y5Er2Sb5
_chemical_formula_sum 'Y5 Er2 Sb5'
_symmetry_space_group_name_H-M 'P 1'
_symmetry_Int_Tables_number 1
_cell_length_a 4.344
_cell_length_b 7.429
_cell_length_c 12.547
_cell_angle_alpha 108.79
_cell_angle_beta 90.00
_cell_angle_gamma 107.00
loop_
_symmetry_equiv_pos_as_xyz
'x,y,z'
loop_
_atom_site_label
_atom_site_fract_x
_atom_site_fract_y
_atom_site_fract_z
Y1 0.660 0.320 0.036
Sb1 0.305 0.609 0.210
Y2 0.724 0.449 0.346
Y3 0.276 0.551 0.654
Sb2 0.117 0.234 0.428
Y4 0.340 0.680 0.964
Y5 0.500 0.000 0.500
Er1 0.047 0.094 0.788
Sb3 0.883 0.766 0.572
Er2 0.953 0.906 0.212
Sb4 0.695 0.391 0.790
Sb5 0.000 0.000 0.000